1.
An optimized crystal structure of CsH2ICl8, computed with PBE.

Cell lengths 6.9008, 6.9080, 9.7180 Å; angles 74.04, 74.94, 74.39 degrees
Sites, in units of the cell vectors:
Cs1 0.0000 0.0000 0.0000
H1 0.4517 0.7264 0.2589
H2 0.5483 0.2736 0.7411
I1 0.0000 0.0000 0.5000
Cl1 0.1015 0.2212 0.6221
Cl2 0.1191 0.2208 0.2556
Cl3 0.3512 0.7691 0.4871
Cl4 0.4826 0.2909 0.8776
Cl5 0.5174 0.7091 0.1224
Cl6 0.6488 0.2309 0.5129
Cl7 0.8809 0.7792 0.7444
Cl8 0.8985 0.7788 0.3779

2.
An optimized crystal structure of Cs6HI2Cl3, computed with PBE.

Cell lengths 11.5588, 11.5588, 10.3905 Å; angles 103.09, 103.09, 25.68 degrees
Sites, in units of the cell vectors:
Cs1 0.0050 0.0050 0.2646
Cs2 0.3379 0.3379 0.4375
Cs3 0.3415 0.3415 0.8992
Cs4 0.6585 0.6585 0.1008
Cs5 0.6621 0.6621 0.5625
Cs6 0.9950 0.9950 0.7354
H1 0.5000 0.5000 0.5000
I1 0.1668 0.1668 0.8326
I2 0.8332 0.8332 0.1674
Cl1 0.1658 0.1658 0.3381
Cl2 0.5000 0.5000 0.0000
Cl3 0.8342 0.8342 0.6619

3.
An optimized crystal structure of Cs8HI4Cl3, computed with PBE.

Cell lengths 10.5344, 10.5344, 10.5344 Å; angles 59.28, 59.28, 59.28 degrees
Sites, in units of the cell vectors:
Cs1 0.2408 0.2408 0.2408
Cs2 0.2455 0.7370 0.7370
Cs3 0.2630 0.2630 0.7545
Cs4 0.2630 0.7545 0.2630
Cs5 0.7370 0.2455 0.7370
Cs6 0.7370 0.7370 0.2455
Cs7 0.7545 0.2630 0.2630
Cs8 0.7592 0.7592 0.7592
H1 0.5000 0.5000 0.5000
I1 0.0000 0.0000 0.0000
I2 0.0000 0.5000 0.5000
I3 0.5000 0.0000 0.5000
I4 0.5000 0.5000 0.0000
Cl1 0.0000 0.0000 0.5000
Cl2 0.0000 0.5000 0.0000
Cl3 0.5000 0.0000 0.0000

4.
An optimized crystal structure of CsHICl, computed with PBE.

Cell lengths 5.9791, 4.9692, 5.9913 Å; angles 90.00, 101.42, 90.00 degrees
Sites, in units of the cell vectors:
Cs1 0.0000 0.0000 0.0000
H1 0.2198 0.5000 0.6360
I1 0.4923 0.5000 0.9445
Cl1 0.0187 0.5000 0.4738

no.,energy (Ry/atom)
1,-0.1898
2,-0.2152
3,-0.2121
4,-0.2161